Compound: Mo3RhO
Source: Alexandria
Functional: PBE with a Hubbard U
Structure: optimized geometry

## Properties
As for the energy relative to the lowest polymorph listed for this composition: 1.485 eV/atom. Its energy is -4.66 eV per atom. The size of the total moment comes out at 12.563 μB/f.u. Its symmetry is Pm-3m (221). The volume comes out at 26.2 A^3/atom.

a = 5.080 Å, b = 5.080 Å, c = 5.080 Å
α = 90.00°, β = 90.00°, γ = 90.00°
Atoms (fractional coordinates):
O: 0.500 0.500 0.500
Mo: 0.000 0.000 0.500
Mo: 0.000 0.500 0.000
Mo: 0.500 0.000 0.000
Rh: 0.000 0.000 0.000